## Mn2TeBr (PBE)

Data for a geometry-optimized Mn2TeBr structure.

The structure in POSCAR format:
```
Mn2TeBr
1.0
-1.843 -0.446 -4.001
1.090 -2.273 -3.640
-3.919 -6.025 1.351
Br Mn Te
1 2 1
Cartesian
-3.994 -7.289 -4.443 Br
-0.926 -2.957 -7.444 Mn
-1.046 -2.003 -1.637 Mn
-1.795 -3.583 -3.552 Te
```

***

## MnTe2Br (PBE)

Data for a geometry-optimized MnTe2Br structure.

The structure in POSCAR format:
```
MnTe2Br
1.0
6.552 0.076 -0.119
5.507 3.551 -0.119
1.528 0.460 5.802
Br Mn Te
1 1 2
Cartesian
7.872 2.368 2.311 Br
2.979 0.896 0.930 Mn
11.043 3.322 0.417 Te
10.547 3.172 4.448 Te
```

***

## Mn2TeBr (PBE)

Data for a geometry-optimized Mn2TeBr structure.

The structure in POSCAR format:
```
Mn2TeBr
1.0
3.523 0.000 0.000
0.000 3.523 0.000
0.000 0.000 7.099
Br Mn Te
1 2 1
Cartesian
1.761 1.761 5.325 Br
0.000 0.000 0.327 Mn
0.000 0.000 3.223 Mn
1.761 1.761 1.775 Te
```

***

no.,E above lowest polymorph (kJ/mol of atoms)
1,8.8
2,3.6
3,28.6